Below is a relaxed Ac6Ni2Te3Se crystal, with properties calculated at the PBE level.

Cell lengths 7.749, 7.749, 8.299 Å; angles 98.97, 98.97, 119.93 degrees
Sites, in units of the cell vectors:
1 Ac 0.077 0.428 0.782
2 Ac 0.221 0.221 0.215
3 Ac 0.428 0.077 0.782
4 Ac 0.572 0.923 0.218
5 Ac 0.779 0.779 0.785
6 Ac 0.923 0.572 0.218
7 Ni 0.168 0.832 0.000
8 Ni 0.832 0.168 0.000
9 Te 0.000 0.000 0.500
10 Te 0.341 0.659 0.500
11 Te 0.659 0.341 0.500
12 Se 0.500 0.500 0.000

Properties
space-group type: C2/m, No. 12
ΔE_f (raw): -1.117 eV per atom
theoretical density: 7.85 g/cm³

=====

Below is a relaxed ZrMoAs2 crystal, with properties calculated at the PBE level.

Cell lengths 4.641, 4.641, 4.641 Å; angles 60.00, 60.00, 60.00 degrees
Sites, in units of the cell vectors:
1 Zr 0.000 0.000 0.000
2 Mo 0.250 0.250 0.250
3 As 0.500 0.500 0.500
4 As 0.750 0.750 0.750

Properties
space-group type: F-43m, No. 216
energy relative to the lowest polymorph listed for this composition: 656.5 meV/atom
calculated formation energy: -0.2 kJ/mol of atoms
theoretical density: 7.92 g/cm³